GGA-PBE TiCuGeSe2, optimized geometry; M_tot = 0.00 μB per formula unit; uncorrected formation energy = 162 meV/atom; Fermi-level density of states = 2.560 states/eV/cell
1.0
4.8932 0.0000 0.0000
0.0000 4.7556 0.0000
0.0000 0.0000 4.8932
Ge Cu Se Ti
1 1 2 1
direct
0.5000 0.5000 0.5000 Ge
0.0000 0.5000 0.0000 Cu
0.0000 0.0000 0.5000 Se
0.5000 0.0000 0.0000 Se
0.0000 0.0000 0.0000 Ti

---

GGA-PBE HfZr2Bi2, optimized geometry; M_tot = 0.00 μB per formula unit; Fermi-level density of states = 8.459 states/eV/cell; polymorph energy (0 for the lowest one) = 2 meV/atom
1.0
5.4183 0.0000 0.0000
0.0000 5.1816 -2.0700
0.0000 -0.3894 8.8679
Hf Zr Bi
2 4 4
direct
0.2500 0.0927 0.9471 Hf
0.7500 0.9073 0.0529 Hf
0.2500 0.4698 0.7412 Zr
0.2500 0.2919 0.3280 Zr
0.7500 0.7081 0.6720 Zr
0.7500 0.5302 0.2588 Zr
0.7500 0.3117 0.8733 Bi
0.7500 0.1447 0.4356 Bi
0.2500 0.8553 0.5644 Bi
0.2500 0.6883 0.1267 Bi

---

GGA-PBE Na2PuAgCl6, optimized geometry; M_tot = 5.00 μB per formula unit; uncorrected formation energy = -1453 meV/atom; Fermi-level density of states = 9.698 states/eV/cell
1.0
-1.4327 3.9132 -3.3895
4.4651 -3.2109 -5.5945
-6.1016 -4.3096 -2.3964
Na Pu Ag Cl
2 1 1 6
direct
0.8682 0.5000 0.0000 Na
0.8682 0.0000 0.5000 Na
0.7091 0.5000 0.5000 Pu
0.6636 0.0000 0.0000 Ag
0.7355 0.2577 0.2577 Cl
0.7355 0.2577 0.7423 Cl
0.2122 0.5000 0.5000 Cl
0.1832 0.0000 0.0000 Cl
0.7355 0.7423 0.7423 Cl
0.7355 0.7423 0.2577 Cl

---

GGA-PBE Pm2GeN3, optimized geometry; M_tot = 0.00 μB per formula unit; uncorrected formation energy = -841 meV/atom; Fermi-level density of states = 7.803 states/eV/cell
1.0
-5.0827 1.4449 1.7061
-4.4708 -0.1217 -4.1801
-2.8706 -11.0106 2.9470
Pm Ge N
8 4 12
direct
0.5631 0.4016 0.3532 Pm
0.0353 0.4016 0.1468 Pm
0.4369 0.5984 0.6468 Pm
0.9647 0.5984 0.8532 Pm
0.3422 0.7747 0.0712 Pm
0.8831 0.7747 0.4288 Pm
0.6578 0.2253 0.9288 Pm
0.1169 0.2253 0.5712 Pm
0.7303 0.9990 0.1633 Ge
0.2707 0.9990 0.3367 Ge
0.2697 0.0010 0.8367 Ge
0.7293 0.0010 0.6633 Ge
0.5984 0.8031 0.2500 N
0.4016 0.1969 0.7500 N
0.5126 0.3333 0.1312 N
0.1541 0.3333 0.3688 N
0.4874 0.6667 0.8688 N
0.8459 0.6667 0.6312 N
0.6822 0.2030 0.5358 N
0.1148 0.2030 0.9642 N
0.3178 0.7970 0.4642 N
0.8852 0.7970 0.0358 N
0.9769 0.0462 0.2500 N
0.0231 0.9538 0.7500 N

---

GGA-PBE Ca3Cl, optimized geometry; M_tot = 0.00 μB per formula unit; uncorrected formation energy = -293 meV/atom; Fermi-level density of states = 3.412 states/eV/cell; polymorph energy (0 for the lowest one) = 491 meV/atom
1.0
5.3298 0.0000 0.0000
0.0000 5.3298 0.0000
0.0000 0.0000 5.3298
Ca Cl
3 1
direct
0.0000 0.5000 0.5000 Ca
0.5000 0.0000 0.5000 Ca
0.5000 0.5000 0.0000 Ca
0.0000 0.0000 0.0000 Cl

---

GGA-PBE V2InSnGe, optimized geometry; M_tot = 5.67 μB per formula unit; Fermi-level density of states = 8.609 states/eV/cell; DFT total energy = -4.63 eV per atom
1.0
-0.0990 4.6871 -2.0494
-4.4059 0.9007 2.2729
2.4806 1.8367 4.0807
Ge V Sn In
1 2 1 1
direct
0.0000 0.5000 0.0000 Ge
0.0000 0.0000 0.5000 V
0.5000 0.0000 0.0000 V
0.5000 0.5000 0.5000 Sn
0.0000 0.0000 0.0000 In

---

GGA-PBE Ga2Fe2Rh, optimized geometry; M_tot = 5.07 μB per formula unit; Fermi-level density of states = 10.779 states/eV/cell; polymorph energy (0 for the lowest one) = 0 meV/atom
1.0
6.7147 0.0000 0.0000
0.0000 6.7147 0.0000
0.0000 0.0000 3.0017
Rh Fe Ga
2 4 4
direct
0.0000 0.0000 0.0000 Rh
0.5000 0.5000 0.0000 Rh
0.1588 0.6588 0.5000 Fe
0.6588 0.8412 0.5000 Fe
0.8412 0.3412 0.5000 Fe
0.3412 0.1588 0.5000 Fe
0.3598 0.8598 0.0000 Ga
0.8598 0.6402 0.0000 Ga
0.6402 0.1402 0.0000 Ga
0.1402 0.3598 0.0000 Ga

---

GGA-PBE Ce2PtN, optimized geometry; M_tot = 1.16 μB per formula unit; uncorrected formation energy = -1098 meV/atom; Fermi-level density of states = 6.651 states/eV/cell; polymorph energy (0 for the lowest one) = 2 meV/atom
1.0
3.6498 0.0000 0.0000
1.8249 3.1608 0.0000
1.8249 1.0536 6.9508
Ce Pt N
2 1 1
direct
0.7347 0.7347 0.7958 Ce
0.2653 0.2653 0.2042 Ce
0.5000 0.5000 0.5000 Pt
0.0000 0.0000 0.0000 N

---

GGA-PBE HfScSCl2, optimized geometry; M_tot = 1.55 μB per formula unit; uncorrected formation energy = -737 meV/atom; Fermi-level density of states = 4.858 states/eV/cell; polymorph energy (0 for the lowest one) = 0 meV/atom
1.0
4.8925 0.0000 0.0000
0.0000 4.8925 0.0000
0.0000 0.0000 5.0033
Sc S Hf Cl
1 1 1 2
direct
0.5000 0.5000 0.5000 Sc
0.0000 0.0000 0.5000 S
0.0000 0.0000 0.0000 Hf
0.0000 0.5000 0.0000 Cl
0.5000 0.0000 0.0000 Cl

---

GGA-PBE TaCr2Se, optimized geometry; M_tot = 3.10 μB per formula unit; uncorrected formation energy = 381 meV/atom; Fermi-level density of states = 3.316 states/eV/cell
1.0
4.7389 -0.0369 0.0000
1.5367 4.4829 0.0000
-3.1378 -2.2230 2.7696
Cr Se Ta
2 1 1
direct
0.0000 0.0000 0.0000 Cr
0.5000 0.5000 0.0000 Cr
0.2500 0.7500 0.5000 Se
0.7500 0.2500 0.5000 Ta

---

GGA-PBE LiHRhO2, optimized geometry; M_tot = 1.29 μB per formula unit; Fermi-level density of states = 2.012 states/eV/cell; DFT total energy = -5.16 eV per atom
1.0
-0.7815 -2.7727 -2.6600
2.5185 -1.8847 1.2246
-2.4910 -1.7012 2.5051
H Rh O Li
1 1 2 1
direct
0.0000 0.5000 0.0000 H
0.0000 0.0000 0.0000 Rh
0.0000 0.0000 0.5000 O
0.5000 0.0000 0.0000 O
0.5000 0.5000 0.5000 Li

---

GGA-PBE SrNd8Dy4, optimized geometry; M_tot = 0.00 μB per formula unit; Fermi-level density of states = 19.275 states/eV/cell; DFT total energy = -4.42 eV per atom
1.0
-0.0520 0.6637 5.1356
1.6935 -5.1702 3.2962
12.3821 11.3335 1.2716
Sr Nd Dy
1 8 4
direct
0.0000 0.0000 0.0000 Sr
0.4535 0.7814 0.3116 Nd
0.5465 0.2186 0.6884 Nd
0.6093 0.6978 0.0836 Nd
0.3907 0.3022 0.9164 Nd
0.9284 0.5307 0.6126 Nd
0.0716 0.4693 0.3874 Nd
0.8365 0.0893 0.2376 Nd
0.1635 0.9107 0.7624 Nd
0.3111 0.8409 0.5369 Dy
0.6889 0.1591 0.4631 Dy
0.7873 0.5885 0.8370 Dy
0.2127 0.4115 0.1630 Dy